(1)
VASP calculation (PBE) on a relaxed structure of Nd6ScZn2.

Cell: 12.6983 3.6751 11.9612 Å, 90.00 109.25 90.00°
Closest atoms and distances in Å follow each position.
Space group C2/m (No. 12)
Symmetry-distinct sites (fractional):
Nd 0.0316 0.0000 0.3230 x4  2 Zn 3.12, 1 Nd 3.37
Nd 0.1851 0.5000 0.8782 x4  2 Zn 3.15, 5 Nd 3.38-3.52
Nd 0.1876 0.5000 0.5946 x4  10 Nd 3.37-3.73, 2 Zn 3.42
Sc 0.0000 0.0000 0.0000 x2  4 Zn 2.92
Zn 0.1377 0.5000 0.1783 x4  2 Sc 2.92, 4 Nd 3.12-3.15

- energy (eV per formula unit) = -38.49
- crystal system = monoclinic
- ΔH_f (0 K) (eV/atom) = -0.112
- size of the total moment (μB/atom) = 0.00

=====

(2)
VASP calculation (PBE) on a relaxed structure of NdSc5Zn6.

Cell: 15.1804 6.8921 4.7930 Å, 90.00 108.18 90.00°
Closest atoms and distances in Å follow each position.
Space group C2/m (No. 12)
Symmetry-distinct sites (fractional):
Nd 0.0000 0.0000 0.0000 x2  8 Zn 3.06-3.09, 4 Sc 3.36-3.37
Sc 0.0000 0.5000 0.0000 x2  8 Zn 2.85-2.98
Sc 0.1637 0.0000 0.6636 x4  8 Zn 2.86-3.04
Sc 0.1690 0.5000 0.6689 x4  8 Zn 2.88-2.92
Zn 0.0000 0.2770 0.5000 x4  6 Sc 2.85-3.04, 2 Nd 3.06, 1 Zn 3.07
Zn 0.1732 0.2646 0.1729 x8  7 Sc 2.86-3.02, 1 Nd 3.09

- energy (eV per formula unit) = -48.08
- crystal system = monoclinic
- ΔH_f (0 K) (eV/atom) = -0.334
- size of the total moment (μB/atom) = 0.00

=====

(3)
VASP calculation (PBE) on a relaxed structure of Nd2ZrSc.

Cell: 7.6890 7.6890 7.6890 Å, 90.00 90.00 90.00°
Closest atoms and distances in Å follow each position.
Space group Fm-3m (No. 225)
Symmetry-distinct sites (fractional):
Nd 0.2500 0.2500 0.2500 x8  4 Zr 3.33, 4 Sc 3.33
Zr 0.0000 0.0000 0.0000 x4  8 Nd 3.33
Sc 0.0000 0.0000 0.5000 x4  8 Nd 3.33

- polymorph energy (0 for the lowest one) (meV/atom) = 63
- energy (eV per formula unit) = -23.66
- crystal system = cubic
- ΔH_f (0 K) (eV/atom) = 0.189
- size of the total moment (μB/atom) = 0.08

=====

(4)
VASP calculation (PBE) on a relaxed structure of NdZrSc3.

Cell: 5.2176 3.2691 15.0823 Å, 90.00 90.00 90.00°
Closest atoms and distances in Å follow each position.
Space group Pmma (No. 51)
Symmetry-distinct sites (fractional):
Nd 0.2500 0.0000 0.1443 x2  8 Sc 3.15-3.50, 2 Nd 3.27
Zr 0.2500 0.5000 0.3625 x2  10 Sc 3.24-3.43, 2 Zr 3.27
Sc 0.2500 0.0000 0.5476 x2  3 Sc 2.88-2.98
Sc 0.2500 0.0000 0.7383 x2  1 Sc 2.88, 2 Nd 3.15
Sc 0.2500 0.5000 0.9389 x2  6 Sc 3.19-3.44, 6 Nd 3.32-3.50

- energy (eV per formula unit) = -31.88
- crystal system = orthorhombic
- ΔH_f (0 K) (eV/atom) = 0.087
- size of the total moment (μB/atom) = 0.00

=====

(5)
VASP calculation (PBE) on a relaxed structure of NdZrSc6.

Cell: 4.6374 4.6374 9.4016 Å, 90.00 90.00 90.00°
Closest atoms and distances in Å follow each position.
Space group P4/mmm (No. 123)
Symmetry-distinct sites (fractional):
Nd 0.0000 0.0000 0.0000 x1  12 Sc 3.28-3.40
Zr 0.0000 0.0000 0.5000 x1  12 Sc 3.21-3.28
Sc 0.0000 0.5000 0.2644 x4  2 Zr 3.21, 8 Sc 3.21-3.40, 2 Nd 3.40
Sc 0.5000 0.5000 0.0000 x1  4 Nd 3.28, 8 Sc 3.40
Sc 0.5000 0.5000 0.5000 x1  8 Sc 3.21, 4 Zr 3.28

- energy (eV per formula unit) = -50.96
- crystal system = tetragonal
- ΔH_f (0 K) (eV/atom) = 0.044
- size of the total moment (μB/atom) = 0.00

=====

(6)
VASP calculation (PBE) on a relaxed structure of NdZr2Sc6.

Cell: 11.7200 13.2749 5.9867 Å, 90.00 103.37 90.00°
Closest atoms and distances in Å follow each position.
Space group C2/c (No. 15)
Symmetry-distinct sites (fractional):
Nd 0.0000 0.1176 0.2500 x4  8 Sc 3.12-3.42
Zr 0.1337 0.4755 0.3720 x8  6 Sc 3.01-3.17, 3 Zr 3.06-3.14
Sc 0.0450 0.3181 0.0115 x8  3 Zr 3.01-3.15, 5 Sc 3.06-3.27, 1 Nd 3.12
Sc 0.1478 0.0874 0.8253 x8  3 Sc 3.14-3.37, 2 Zr 3.15-3.17, 3 Nd 3.20-3.50
Sc 0.2323 0.3023 0.7142 x8  6 Sc 3.03-3.23, 2 Zr 3.12-3.38, 1 Nd 3.27

- energy (eV per formula unit) = -59.10
- crystal system = monoclinic
- ΔH_f (0 K) (eV/atom) = 0.084
- size of the total moment (μB/atom) = 0.00

=====

(7)
VASP calculation (PBE) on a relaxed structure of NdZrSc2.

Cell: 3.3419 3.3419 32.4697 Å, 90.00 90.00 120.00°
Closest atoms and distances in Å follow each position.
Space group R-3m (No. 166, hexagonal axes)
Symmetry-distinct sites (fractional):
Nd 0.0000 0.0000 0.0000 x3  6 Nd 3.34, 6 Sc 3.48
Zr 0.0000 0.0000 0.5000 x3  6 Sc 3.17, 6 Zr 3.34
Sc 0.0000 0.0000 0.2440 x6  3 Zr 3.17, 6 Sc 3.34, 3 Nd 3.48

- polymorph energy (0 for the lowest one) (meV/atom) = 0
- energy (eV per formula unit) = -25.69
- crystal system = trigonal
- ΔH_f (0 K) (eV/atom) = 0.073
- size of the total moment (μB/atom) = 0.00

=====

(8)
VASP calculation (PBE) on a relaxed structure of NdZr6Sc12.

Cell: 12.5730 12.5730 10.8134 Å, 90.00 90.00 120.00°
Closest atoms and distances in Å follow each position.
Space group R-3m (No. 166, hexagonal axes)
Symmetry-distinct sites (fractional):
Nd 0.0000 0.0000 0.0000 x3  6 Zr 3.71
Zr 0.0004 0.5002 0.2663 x18  4 Sc 2.72-2.91
Sc 0.0000 0.3859 0.5000 x18  4 Zr 2.72-2.91, 1 Sc 2.87
Sc 0.0947 0.1893 0.3514 x18  4 Zr 3.11-3.45, 3 Sc 3.16-3.30

- energy (eV per formula unit) = -123.27
- crystal system = trigonal
- ΔH_f (0 K) (eV/atom) = 0.462
- size of the total moment (μB/atom) = 0.18

=====

(9)
VASP calculation (PBE) on a relaxed structure of Nd2ZrSc.

Cell: 3.4589 3.4589 33.3890 Å, 90.00 90.00 120.00°
Closest atoms and distances in Å follow each position.
Space group R3m (No. 160, hexagonal axes)
Symmetry-distinct sites (fractional):
Nd 0.0000 0.0000 0.0000 x3  3 Zr 3.39, 3 Sc 3.43, 6 Nd 3.46
Nd 0.0000 0.0000 0.1641 x3  3 Zr 3.39, 6 Nd 3.46, 3 Sc 3.49
Zr 0.0000 0.0000 0.4152 x3  6 Nd 3.39, 6 Zr 3.46
Sc 0.0000 0.0000 0.5830 x3  6 Nd 3.43-3.49, 6 Sc 3.46

- polymorph energy (0 for the lowest one) (meV/atom) = 26
- energy (eV per formula unit) = -23.81
- crystal system = trigonal
- ΔH_f (0 K) (eV/atom) = 0.151
- size of the total moment (μB/atom) = 0.00

=====

(10)
VASP calculation (PBE) on a relaxed structure of Nd2ZrSc.

Cell: 4.0086 4.0086 7.1363 Å, 90.00 90.00 90.00°
Closest atoms and distances in Å follow each position.
Space group P4/mmm (No. 123)
Symmetry-distinct sites (fractional):
Nd 0.0000 0.0000 0.2414 x2  4 Zr 3.32, 4 Sc 3.38, 2 Nd 3.44-3.69
Zr 0.5000 0.5000 0.0000 x1  8 Nd 3.32, 2 Sc 3.57
Sc 0.5000 0.5000 0.5000 x1  8 Nd 3.38, 2 Zr 3.57

- polymorph energy (0 for the lowest one) (meV/atom) = 49
- energy (eV per formula unit) = -23.72
- crystal system = tetragonal
- ΔH_f (0 K) (eV/atom) = 0.174
- size of the total moment (μB/atom) = 0.00

=====

(11)
VASP calculation (PBE) on a relaxed structure of Nd2ZrSc.

Cell: 3.3431 3.3431 35.8519 Å, 90.00 90.00 120.00°
Closest atoms and distances in Å follow each position.
Space group R-3m (No. 166, hexagonal axes)
Symmetry-distinct sites (fractional):
Nd 0.0000 0.0000 0.0878 x6  1 Zr 3.15, 6 Nd 3.34, 3 Sc 3.42
Zr 0.0000 0.0000 0.0000 x3  2 Nd 3.15, 6 Zr 3.34
Sc 0.0000 0.0000 0.5000 x3  6 Sc 3.34, 6 Nd 3.42

- polymorph energy (0 for the lowest one) (meV/atom) = 187
- energy (eV per formula unit) = -23.17
- crystal system = trigonal
- ΔH_f (0 K) (eV/atom) = 0.312
- size of the total moment (μB/atom) = 0.00

=====

(12)
VASP calculation (PBE) on a relaxed structure of NdZrSc2.

Cell: 7.4610 7.4610 7.4610 Å, 90.00 90.00 90.00°
Closest atoms and distances in Å follow each position.
Space group Fm-3m (No. 225)
Symmetry-distinct sites (fractional):
Nd 0.0000 0.0000 0.0000 x4  8 Sc 3.23
Zr 0.0000 0.0000 0.5000 x4  8 Sc 3.23
Sc 0.2500 0.2500 0.2500 x8  4 Zr 3.23, 4 Nd 3.23

- polymorph energy (0 for the lowest one) (meV/atom) = 66
- energy (eV per formula unit) = -25.42
- crystal system = cubic
- ΔH_f (0 K) (eV/atom) = 0.139
- size of the total moment (μB/atom) = 0.00